A geometry-optimized Li2NdPt structure. Source: the Alexandria database, functional GGA-PBE.

Cell and atoms, written as POSCAR:
```
Li2NdPt
1.0
5.209 0.000 0.000
0.000 5.842 0.000
-1.888 0.000 5.345
Li Nd Pt
4 2 2
Cartesian
-0.146 0.219 1.477
-0.146 2.702 1.477
3.467 3.140 3.868
3.467 5.623 3.868
0.901 1.461 4.236
2.420 4.382 1.109
0.790 4.382 3.579
2.532 1.461 1.766
```

For the formation energy, the calculation gives -0.521 eV/atom. The calculation puts the energy at -4.1804 eV per atom. Its distance to the lowest polymorph of the same formula is 0 meV/atom.